1.
Pm2TlTe: optimized geometry, PBE.

```
Pm2TlTe
1.0
3.7262 -2.1553 0.0000
3.7262 2.1553 0.0000
-2.4948 0.0000 7.9632
Pm Tl Te
2 1 1
direct
0.2484 0.2484 0.2450
0.7516 0.7516 0.7550
0.0000 0.0000 0.5000
0.5000 0.5000 0.0000
```

## Properties
Total energy (eV/atom): -4.6321
ΔE_f (raw) (eV/atom): -0.8798
Calculated density (g/cm3): 8.075
N(E_F) (states/eV/cell): 2.20
SG: C2/m (12)

---

2.
Pm2TlTe: optimized geometry, PBE.

```
Pm2TlTe
1.0
2.2885 -12.2385 0.0000
2.2885 12.2385 0.0000
0.0000 0.0000 4.4461
Pm Tl Te
4 2 2
direct
0.0645 0.9355 0.7500
0.3210 0.6790 0.7500
0.6790 0.3210 0.2500
0.9355 0.0645 0.2500
0.4539 0.5461 0.7500
0.5461 0.4539 0.2500
0.1918 0.8082 0.7500
0.8082 0.1918 0.2500
```

## Properties
Total energy (eV/atom): -4.6749
ΔE_f (raw) (eV/atom): -0.9226
Calculated density (g/cm3): 8.294
N(E_F) (states/eV/cell): 3.92
SG: Cmcm (63)

---

3.
Pm3Tl2Te: optimized geometry, PBE.

```
Pm3Tl2Te
1.0
7.6849 -3.1764 0.0000
7.6849 3.1764 0.0000
-2.1757 0.0000 7.8781
Pm Tl Te
6 4 2
direct
0.0005 0.9995 0.2500
0.9995 0.0005 0.7500
0.3400 0.3397 0.4199
0.3397 0.3400 0.9199
0.6603 0.6600 0.0801
0.6600 0.6603 0.5801
0.1705 0.1708 0.5856
0.1708 0.1705 0.0856
0.8292 0.8295 0.9144
0.8295 0.8292 0.4144
0.5005 0.4995 0.2500
0.4995 0.5005 0.7500
```

## Properties
Total energy (eV/atom): -4.3361
ΔE_f (raw) (eV/atom): -0.6484
Calculated density (g/cm3): 8.388
N(E_F) (states/eV/cell): 10.14
SG: C2/c (15)

---

4.
Pm3Tl5Te12: optimized geometry, PBE.

```
Pm3Tl5Te12
1.0
-9.1106 9.1106 9.1106
9.1106 -9.1106 9.1106
9.1106 9.1106 -9.1106
Pm Tl Te
12 20 48
direct
0.1250 0.2500 0.3750
0.1250 0.3750 0.7500
0.2500 0.3750 0.1250
0.2500 0.8750 0.6250
0.3750 0.1250 0.2500
0.3750 0.7500 0.1250
0.6250 0.2500 0.8750
0.6250 0.8750 0.7500
0.7500 0.1250 0.3750
0.7500 0.6250 0.8750
0.8750 0.6250 0.2500
0.8750 0.7500 0.6250
0.0000 0.0000 0.0000
0.0000 0.0000 0.5000
0.0000 0.5000 0.0000
0.0000 0.5000 0.5000
0.1250 0.7500 0.8750
0.1250 0.8750 0.2500
0.2500 0.1250 0.8750
0.2500 0.6250 0.3750
0.3750 0.2500 0.6250
0.3750 0.6250 0.7500
0.5000 0.0000 0.0000
0.5000 0.0000 0.5000
0.5000 0.5000 0.0000
0.5000 0.5000 0.5000
0.6250 0.3750 0.2500
0.6250 0.7500 0.3750
0.7500 0.3750 0.6250
0.7500 0.8750 0.1250
0.8750 0.1250 0.7500
0.8750 0.2500 0.1250
0.0582 0.2303 0.1426
0.0582 0.3279 0.9155
0.0845 0.6426 0.4123
0.0845 0.9418 0.6721
0.0877 0.7303 0.6721
0.0877 0.8574 0.4155
0.1426 0.0582 0.2303
0.1426 0.5845 0.9123
0.1721 0.2303 0.5877
0.1721 0.4418 0.5845
0.2303 0.1426 0.0582
0.2303 0.5877 0.1721
0.2697 0.3279 0.9123
0.2697 0.4418 0.3574
0.3279 0.9123 0.2697
0.3279 0.9155 0.0582
0.3574 0.2697 0.4418
0.3574 0.5877 0.9155
0.4123 0.0845 0.6426
0.4123 0.8279 0.7697
0.4155 0.0877 0.8574
0.4155 0.8279 0.5582
0.4418 0.3574 0.2697
0.4418 0.5845 0.1721
0.5582 0.4155 0.8279
0.5582 0.6426 0.7303
0.5845 0.1721 0.4418
0.5845 0.9123 0.1426
0.5877 0.1721 0.2303
0.5877 0.9155 0.3574
0.6426 0.4123 0.0845
0.6426 0.7303 0.5582
0.6721 0.0845 0.9418
0.6721 0.0877 0.7303
0.7303 0.5582 0.6426
0.7303 0.6721 0.0877
0.7697 0.4123 0.8279
0.7697 0.8574 0.9418
0.8279 0.5582 0.4155
0.8279 0.7697 0.4123
0.8574 0.4155 0.0877
0.8574 0.9418 0.7697
0.9123 0.1426 0.5845
0.9123 0.2697 0.3279
0.9155 0.0582 0.3279
0.9155 0.3574 0.5877
0.9418 0.6721 0.0845
0.9418 0.7697 0.8574
```

## Properties
Total energy (eV/atom): -3.6976
ΔE_f (raw) (eV/atom): -0.5084
Calculated density (g/cm3): 6.561
N(E_F) (states/eV/cell): 29.09
SG: Ia-3d (230)

---

5.
Pm8Tl3Te2: optimized geometry, PBE.

```
Pm8Tl3Te2
1.0
7.7032 -4.4102 0.0000
7.7032 4.4102 0.0000
-0.1060 0.0000 6.3380
Pm Tl Te
8 3 2
direct
0.0799 0.6729 0.1245
0.0926 0.0926 0.3670
0.3225 0.3225 0.6186
0.3271 0.9201 0.8755
0.6729 0.0799 0.1245
0.6775 0.6775 0.3814
0.9074 0.9074 0.6330
0.9201 0.3271 0.8755
0.3182 0.6818 0.5000
0.5000 0.5000 0.0000
0.6818 0.3182 0.5000
0.2654 0.2654 0.1043
0.7346 0.7346 0.8957
```

## Properties
Total energy (eV/atom): -4.3787
ΔE_f (raw) (eV/atom): -0.4259
Calculated density (g/cm3): 7.821
N(E_F) (states/eV/cell): 13.17
SG: C2/m (12)

---

6.
Pm10Tl3Te3: optimized geometry, PBE.

```
Pm10Tl3Te3
1.0
9.2843 0.0000 0.0000
-4.6422 8.0405 0.0000
0.0000 0.0000 6.5813
Pm Tl Te
10 3 3
direct
0.0000 0.2443 0.0000
0.0000 0.7587 0.5000
0.2413 0.2413 0.5000
0.2443 0.0000 0.0000
0.3333 0.6667 0.2484
0.3333 0.6667 0.7516
0.6667 0.3333 0.2484
0.6667 0.3333 0.7516
0.7557 0.7557 0.0000
0.7587 0.0000 0.5000
0.0000 0.3913 0.5000
0.3913 0.0000 0.5000
0.6087 0.6087 0.5000
0.0000 0.6142 0.0000
0.3858 0.3858 0.0000
0.6142 0.0000 0.0000
```

## Properties
Total energy (eV/atom): -4.7011
ΔE_f (raw) (eV/atom): -0.6993
Calculated density (g/cm3): 8.267
N(E_F) (states/eV/cell): 16.08
SG: P-62m (189)